The following is a DFT calculation (PBE) of an optimized crystal structure of Si2AuCl.

Properties
**Crystal system**: monoclinic
**Total DFT energy (no corrections)**: -4.08 eV per atom
**Offset from the most stable computed form**: 204 meV per atom
**Total magnetization**: 0.000 μB per atom
**Calculated density**: 5.1 g/cm³

a b c (Å): 4.089 4.089 6.894
angles (deg): 106.70 106.70 60.11
Atoms (fractional coordinates):
1 Au 0.250 0.250 0.250
2 Cl 0.750 0.750 0.750
3 Si 0.873 0.873 0.115
4 Si 0.627 0.627 0.385

---

The following is a DFT calculation (PBE) of an optimized crystal structure of Si2AuCl.

Properties
**Crystal system**: triclinic
**Total DFT energy (no corrections)**: -4.15 eV per atom
**Offset from the most stable computed form**: 137 meV per atom
**Total magnetization**: 0.000 μB per atom
**Calculated density**: 4.5 g/cm³

a b c (Å): 3.846 5.274 10.767
angles (deg): 96.60 96.72 92.55
Atoms (fractional coordinates):
1 Si 0.954 0.872 0.562
2 Si 0.102 0.173 0.425
3 Si 0.811 0.238 0.714
4 Si 0.352 0.433 0.811
5 Au 0.481 0.811 0.712
6 Au 0.641 0.442 0.499
7 Cl 0.432 0.468 0.006
8 Cl 0.019 0.009 0.239

---

The following is a DFT calculation (PBE) of an optimized crystal structure of Si2AuCl.

Properties
**Crystal system**: orthorhombic
**Total DFT energy (no corrections)**: -3.73 eV per atom
**Offset from the most stable computed form**: 563 meV per atom
**Total magnetization**: 0.000 μB per atom
**Calculated density**: 6.2 g/cm³

a b c (Å): 3.326 3.398 6.847
angles (deg): 90.00 90.00 90.00
Atoms (fractional coordinates):
1 Au 0.000 0.000 0.466
2 Cl 0.500 0.500 0.717
3 Si 0.000 0.000 0.101
4 Si 0.500 0.500 0.217

---

The following is a DFT calculation (PBE) of an optimized crystal structure of Si2AuCl.

Properties
**Crystal system**: triclinic
**Total DFT energy (no corrections)**: -4.14 eV per atom
**Offset from the most stable computed form**: 151 meV per atom
**Total magnetization**: 0.000 μB per atom
**Calculated density**: 3.9 g/cm³

a b c (Å): 5.513 5.956 8.294
angles (deg): 76.66 86.54 67.79
Atoms (fractional coordinates):
1 Si 0.392 0.949 0.406
2 Si 0.588 0.176 0.516
3 Si 0.822 0.929 0.315
4 Si 0.032 0.212 0.225
5 Au 0.756 0.522 0.377
6 Au 0.226 0.596 0.451
7 Cl 0.082 0.366 0.981
8 Cl 0.726 0.042 0.760